# 1
Material: CdIBrO2
Method: DFT, GGA-PBE
State: relaxed

The structure in CIF format:
```
data_CdIBrO2
_chemical_formula_sum 'Cd1 I1 Br1 O2'
_space_group_name_H-M_alt 'P 4/m m m'
_space_group_IT_number 123
_space_group_name_Hall '-P 4 2'
_cell_length_a 4.064
_cell_length_b 4.064
_cell_length_c 7.390
_cell_angle_alpha 90.00
_cell_angle_beta 90.00
_cell_angle_gamma 90.00
loop_
_atom_site_label
_atom_site_type_symbol
_atom_site_fract_x
_atom_site_fract_y
_atom_site_fract_z
Cd1 Cd 0.000 0.000 0.000
I1 I 0.500 0.500 0.000
Br1 Br 0.500 0.500 0.500
O1 O 0.000 0.500 0.500
```

- crystal system = tetragonal
- ΔE to the lowest computed polymorph (eV/f.u.) = 0.66
- M_tot (μB per formula unit) = 0.00
- V (A^3/atom) = 24.41


# 2
Material: CdPt2IBr
Method: DFT, GGA-PBE
State: relaxed

The structure in CIF format:
```
data_CdPt2IBr
_chemical_formula_sum 'Cd1 Pt2 I1 Br1'
_space_group_name_H-M_alt 'P 4/m m m'
_space_group_IT_number 123
_space_group_name_Hall '-P 4 2'
_cell_length_a 5.195
_cell_length_b 5.195
_cell_length_c 5.513
_cell_angle_alpha 90.00
_cell_angle_beta 90.00
_cell_angle_gamma 90.00
loop_
_atom_site_label
_atom_site_type_symbol
_atom_site_fract_x
_atom_site_fract_y
_atom_site_fract_z
Cd1 Cd 0.000 0.000 0.000
Pt1 Pt 0.000 0.500 0.000
I1 I 0.000 0.000 0.500
Br1 Br 0.500 0.500 0.500
```

- crystal system = tetragonal
- total energy (Ha/atom) = -0.0776
- M_tot (μB per formula unit) = 0.00
- V (A^3/atom) = 29.76


# 3
Material: Rb2CdI2Br2
Method: DFT, GGA-PBE
State: relaxed

The structure in CIF format:
```
data_Rb2CdI2Br2
_chemical_formula_sum 'Rb8 Cd4 I8 Br8'
_space_group_name_H-M_alt 'A m a 2'
_space_group_IT_number 40
_cell_length_a 11.926
_cell_length_b 12.190
_cell_length_c 8.594
_cell_angle_alpha 90.00
_cell_angle_beta 90.00
_cell_angle_gamma 90.00
loop_
_space_group_symop_operation_xyz
'x,y,z'
'-x,-y,z'
'-x+1/2,y,z'
'x+1/2,-y,z'
'x,y+1/2,z+1/2'
'-x,-y+1/2,z+1/2'
'-x+1/2,y+1/2,z+1/2'
'x+1/2,-y+1/2,z+1/2'
loop_
_atom_site_label
_atom_site_type_symbol
_atom_site_fract_x
_atom_site_fract_y
_atom_site_fract_z
Rb1 Rb 0.000 0.000 0.000
Rb2 Rb 0.250 0.175 0.458
Cd1 Cd 0.250 0.280 0.961
I1 I 0.056 0.290 0.148
Br1 Br 0.250 0.082 0.828
Br2 Br 0.250 0.428 0.734
```

- crystal system = orthorhombic
- ΔE to the lowest computed polymorph (eV/f.u.) = 0.00
- M_tot (μB per formula unit) = 0.00
- V (A^3/atom) = 44.62


# 4
Material: Rb2CdI2Br2
Method: DFT, GGA-PBE
State: relaxed

The structure in CIF format:
```
data_Rb2CdI2Br2
_chemical_formula_sum 'Rb4 Cd2 I4 Br4'
_space_group_name_H-M_alt 'I 4/m m m'
_space_group_IT_number 139
_space_group_name_Hall '-I 4 2'
_cell_length_a 5.674
_cell_length_b 5.674
_cell_length_c 18.138
_cell_angle_alpha 90.00
_cell_angle_beta 90.00
_cell_angle_gamma 90.00
loop_
_atom_site_label
_atom_site_type_symbol
_atom_site_fract_x
_atom_site_fract_y
_atom_site_fract_z
Rb1 Rb 0.000 0.000 0.130
Cd1 Cd 0.000 0.000 0.500
I1 I 0.000 0.000 0.338
Br1 Br 0.000 0.500 0.000
```

- crystal system = tetragonal
- ΔE to the lowest computed polymorph (eV/f.u.) = 0.22
- M_tot (μB per formula unit) = 0.00
- V (A^3/atom) = 41.72


# 5
Material: Rb2CdI3Br
Method: DFT, GGA-PBE
State: relaxed

The structure in CIF format:
```
data_Rb2CdI3Br
_chemical_formula_sum 'Rb4 Cd2 I6 Br2'
_space_group_name_H-M_alt 'I m m m'
_space_group_IT_number 71
_space_group_name_Hall '-I 2 2'
_cell_length_a 5.715
_cell_length_b 5.978
_cell_length_c 18.309
_cell_angle_alpha 90.00
_cell_angle_beta 90.00
_cell_angle_gamma 90.00
loop_
_atom_site_label
_atom_site_type_symbol
_atom_site_fract_x
_atom_site_fract_y
_atom_site_fract_z
Rb1 Rb 0.000 0.000 0.135
Cd1 Cd 0.000 0.000 0.500
I1 I 0.000 0.000 0.338
I2 I 0.000 0.500 0.500
Br1 Br 0.000 0.500 0.000
```

- crystal system = orthorhombic
- total energy (Ha/atom) = -0.0903
- M_tot (μB per formula unit) = 0.00
- V (A^3/atom) = 44.68


# 6
Material: RbCdIBr2
Method: DFT, GGA-PBE
State: relaxed

The structure in CIF format:
```
data_RbCdIBr2
_chemical_formula_sum 'Rb1 Cd1 I1 Br2'
_space_group_name_H-M_alt 'P 4/m m m'
_space_group_IT_number 123
_space_group_name_Hall '-P 4 2'
_cell_length_a 5.597
_cell_length_b 5.597
_cell_length_c 5.979
_cell_angle_alpha 90.00
_cell_angle_beta 90.00
_cell_angle_gamma 90.00
loop_
_atom_site_label
_atom_site_type_symbol
_atom_site_fract_x
_atom_site_fract_y
_atom_site_fract_z
Rb1 Rb 0.000 0.000 0.000
Cd1 Cd 0.500 0.500 0.500
I1 I 0.500 0.500 0.000
Br1 Br 0.000 0.500 0.500
```

- crystal system = tetragonal
- ΔE to the lowest computed polymorph (eV/f.u.) = 0.27
- M_tot (μB per formula unit) = 0.00
- V (A^3/atom) = 37.46


# 7
Material: RbCdIBr2
Method: DFT, GGA-PBE
State: relaxed

The structure in CIF format:
```
data_RbCdIBr2
_chemical_formula_sum 'Rb2 Cd2 I2 Br4'
_space_group_name_H-M_alt 'P 1 21/m 1'
_space_group_IT_number 11
_cell_length_a 8.338
_cell_length_b 6.176
_cell_length_c 9.247
_cell_angle_alpha 90.00
_cell_angle_beta 103.58
_cell_angle_gamma 90.00
loop_
_space_group_symop_operation_xyz
'x,y,z'
'-x,-y,-z'
'-x,y+1/2,-z'
'x,-y+1/2,z'
loop_
_atom_site_label
_atom_site_type_symbol
_atom_site_fract_x
_atom_site_fract_y
_atom_site_fract_z
Rb1 Rb 0.219 0.250 0.348
Cd1 Cd 0.411 0.250 0.842
I1 I 0.075 0.250 0.721
Br1 Br 0.411 0.750 0.355
Br2 Br 0.455 0.750 0.870
```

- crystal system = monoclinic
- ΔE to the lowest computed polymorph (eV/f.u.) = 0.00
- M_tot (μB per formula unit) = 0.00
- V (A^3/atom) = 46.29


# 8
Material: Rb2CdI6Br
Method: DFT, GGA-PBE
State: relaxed

The structure in CIF format:
```
data_Rb2CdI6Br
_chemical_formula_sum 'Rb4 Cd2 I12 Br2'
_space_group_name_H-M_alt 'I 4/m m m'
_space_group_IT_number 139
_space_group_name_Hall '-I 4 2'
_cell_length_a 8.880
_cell_length_b 8.880
_cell_length_c 12.022
_cell_angle_alpha 90.00
_cell_angle_beta 90.00
_cell_angle_gamma 90.00
loop_
_atom_site_label
_atom_site_type_symbol
_atom_site_fract_x
_atom_site_fract_y
_atom_site_fract_z
Rb1 Rb 0.000 0.500 0.250
Cd1 Cd 0.000 0.000 0.000
I1 I 0.000 0.000 0.270
I2 I 0.228 0.228 0.000
Br1 Br 0.000 0.000 0.500
```

- crystal system = tetragonal
- total energy (Ha/atom) = -0.0745
- M_tot (μB per formula unit) = 0.00
- V (A^3/atom) = 47.40


# 9
Material: Cd4SbI2Br
Method: DFT, GGA-PBE
State: relaxed

The structure in CIF format:
```
data_Cd4SbI2Br
_chemical_formula_sum 'Cd8 Sb2 I4 Br2'
_space_group_name_H-M_alt 'P m n 21'
_space_group_IT_number 31
_cell_length_a 8.208
_cell_length_b 9.210
_cell_length_c 8.028
_cell_angle_alpha 90.00
_cell_angle_beta 90.00
_cell_angle_gamma 90.00
loop_
_space_group_symop_operation_xyz
'x,y,z'
'-x+1/2,-y,z+1/2'
'-x,y,z'
'x+1/2,-y,z+1/2'
loop_
_atom_site_label
_atom_site_type_symbol
_atom_site_fract_x
_atom_site_fract_y
_atom_site_fract_z
Cd1 Cd 0.000 0.071 0.000
Cd2 Cd 0.000 0.814 0.594
Cd3 Cd 0.171 0.331 0.506
Sb1 Sb 0.000 0.776 0.934
I1 I 0.227 0.318 0.923
Br1 Br 0.000 0.040 0.363
```

- crystal system = orthorhombic
- total energy (Ha/atom) = -0.0689
- M_tot (μB per formula unit) = 0.00
- V (A^3/atom) = 37.93


# 10
Material: CdSbI2Br
Method: DFT, GGA-PBE
State: relaxed

The structure in CIF format:
```
data_CdSbI2Br
_chemical_formula_sum 'Cd1 Sb1 I2 Br1'
_space_group_name_H-M_alt 'P 4/m m m'
_space_group_IT_number 123
_space_group_name_Hall '-P 4 2'
_cell_length_a 5.682
_cell_length_b 5.682
_cell_length_c 5.915
_cell_angle_alpha 90.00
_cell_angle_beta 90.00
_cell_angle_gamma 90.00
loop_
_atom_site_label
_atom_site_type_symbol
_atom_site_fract_x
_atom_site_fract_y
_atom_site_fract_z
Cd1 Cd 0.000 0.000 0.000
Sb1 Sb 0.000 0.000 0.500
I1 I 0.000 0.500 0.000
Br1 Br 0.500 0.500 0.500
```

- crystal system = tetragonal
- ΔE to the lowest computed polymorph (eV/f.u.) = 0.00
- M_tot (μB per formula unit) = 0.16
- V (A^3/atom) = 38.20


# 11
Material: CdSbI2Br
Method: DFT, GGA-PBE
State: relaxed

The structure in CIF format:
```
data_CdSbI2Br
_chemical_formula_sum 'Cd1 Sb1 I2 Br1'
_space_group_name_H-M_alt 'P 4/m m m'
_space_group_IT_number 123
_space_group_name_Hall '-P 4 2'
_cell_length_a 5.932
_cell_length_b 5.932
_cell_length_c 5.913
_cell_angle_alpha 90.00
_cell_angle_beta 90.00
_cell_angle_gamma 90.00
loop_
_atom_site_label
_atom_site_type_symbol
_atom_site_fract_x
_atom_site_fract_y
_atom_site_fract_z
Cd1 Cd 0.000 0.000 0.000
Sb1 Sb 0.500 0.500 0.000
I1 I 0.000 0.500 0.500
Br1 Br 0.500 0.500 0.500
```

- crystal system = tetragonal
- ΔE to the lowest computed polymorph (eV/f.u.) = 1.33
- M_tot (μB per formula unit) = 1.43
- V (A^3/atom) = 41.62


# 12
Material: CdSe2IBr
Method: DFT, GGA-PBE
State: relaxed

The structure in CIF format:
```
data_CdSe2IBr
_chemical_formula_sum 'Cd1 Se2 I1 Br1'
_space_group_name_H-M_alt 'P 4/m m m'
_space_group_IT_number 123
_space_group_name_Hall '-P 4 2'
_cell_length_a 5.383
_cell_length_b 5.383
_cell_length_c 5.263
_cell_angle_alpha 90.00
_cell_angle_beta 90.00
_cell_angle_gamma 90.00
loop_
_atom_site_label
_atom_site_type_symbol
_atom_site_fract_x
_atom_site_fract_y
_atom_site_fract_z
Cd1 Cd 0.000 0.000 0.000
Se1 Se 0.000 0.500 0.000
I1 I 0.500 0.500 0.500
Br1 Br 0.000 0.000 0.500
```

- crystal system = tetragonal
- ΔE to the lowest computed polymorph (eV/f.u.) = 0.00
- M_tot (μB per formula unit) = 0.00
- V (A^3/atom) = 30.50


# 13
Material: CdSeIBr2
Method: DFT, GGA-PBE
State: relaxed

The structure in CIF format:
```
data_CdSeIBr2
_chemical_formula_sum 'Cd1 Se1 I1 Br2'
_space_group_name_H-M_alt 'P 4/m m m'
_space_group_IT_number 123
_space_group_name_Hall '-P 4 2'
_cell_length_a 5.282
_cell_length_b 5.282
_cell_length_c 5.786
_cell_angle_alpha 90.00
_cell_angle_beta 90.00
_cell_angle_gamma 90.00
loop_
_atom_site_label
_atom_site_type_symbol
_atom_site_fract_x
_atom_site_fract_y
_atom_site_fract_z
Cd1 Cd 0.000 0.000 0.000
Se1 Se 0.000 0.000 0.500
I1 I 0.500 0.500 0.500
Br1 Br 0.000 0.500 0.000
```

- crystal system = tetragonal
- ΔE to the lowest computed polymorph (eV/f.u.) = 0.00
- M_tot (μB per formula unit) = 0.00
- V (A^3/atom) = 32.29